No. 1
! AcLa6Nd2Tm, optimized geometry, DFT PBE-GGA; values from VASP
&SYSTEM
  ibrav = 0, nat = 20, ntyp = 4
/
ATOMIC_SPECIES
La 138.91 La.upf
Nd 144.24 Nd.upf
Ac 227.00 Ac.upf
Tm 168.93 Tm.upf
CELL_PARAMETERS angstrom
9.121 -1.706 -1.770
1.242 8.961 -1.947
1.242 -2.278 8.882
ATOMIC_POSITIONS angstrom
La 3.563 -1.342 3.581
La 9.315 -0.336 2.901
La 8.123 2.776 -2.093
La 9.709 6.216 -1.389
La 2.290 5.313 2.264
La 1.897 -1.239 6.554
La 4.754 3.765 0.657
La 5.148 -0.765 7.045
La 6.851 1.212 4.508
La 6.457 5.742 -1.880
La 3.482 2.201 7.258
La 8.043 6.318 1.584
Nd 10.402 2.831 4.006
Nd 5.764 0.226 1.302
Nd 5.841 4.751 3.863
Nd 1.204 2.146 1.159
Ac 8.083 -2.786 6.811
Ac 3.522 7.763 -1.646
Tm 3.522 2.136 3.776
Tm 8.083 2.841 1.389
! Density of states at the Fermi level (states/eV per cell): 27.02

---

No. 2
! Ac5LaNd2Tm, optimized geometry, DFT PBE-GGA; values from VASP
&SYSTEM
  ibrav = 0, nat = 18, ntyp = 4
/
ATOMIC_SPECIES
Ac 227.00 Ac.upf
La 138.91 La.upf
Nd 144.24 Nd.upf
Tm 168.93 Tm.upf
CELL_PARAMETERS angstrom
-0.384 8.352 -0.650
-8.211 -0.246 1.689
6.415 -3.145 9.905
ATOMIC_POSITIONS angstrom
Ac -5.392 1.862 3.836
Ac -2.078 6.727 2.739
Ac -0.102 -1.765 8.206
Ac -1.314 2.567 2.946
Ac -4.297 4.053 0.520
Ac -0.866 2.394 7.999
Ac 3.977 -1.060 7.316
Ac 0.000 0.000 0.000
Ac 3.213 3.099 7.109
Ac -6.156 6.021 3.629
La -3.238 4.507 5.733
La 1.059 0.454 5.213
Nd -5.449 7.175 0.482
Nd -1.246 5.170 -0.197
Nd -3.146 0.931 0.558
Nd -7.349 2.937 1.237
Tm -3.047 0.331 6.057
Tm 0.867 4.630 4.888
! Density of states at the Fermi level (states/eV per cell): 31.94

---

The evaluated VASP energy for the records listed, in turn: -4.653 -4.103 eV/atom.